(1)
Material: CeMnReP2
Method: DFT, PBE
State: relaxed

Computed properties:
D(E_F) = 6.20 states/eV per cell
Formation energy from the elements = -0.768 eV/atom

Cell and atoms, written as CIF:
```
data_CeMnReP2
_symmetry_space_group_name_H-M 'P 1'
_symmetry_Int_Tables_number 1
_cell_length_a 4.0305
_cell_length_b 4.0305
_cell_length_c 5.7275
_cell_angle_alpha 110.60
_cell_angle_beta 110.60
_cell_angle_gamma 90.00
loop_
_symmetry_equiv_pos_as_xyz
'x,y,z'
loop_
_atom_site_label
_atom_site_type_symbol
_atom_site_fract_x
_atom_site_fract_y
_atom_site_fract_z
Ce1 Ce 0.0000 0.0000 0.0000
Mn1 Mn 0.2500 0.7500 0.5000
Re1 Re 0.7500 0.2500 0.5000
P1 P 0.6326 0.6326 0.2652
P2 P 0.3674 0.3674 0.7348
```



(2)
Material: Hg4PtCl2
Method: DFT, PBE
State: relaxed

Computed properties:
D(E_F) = 2.15 states/eV per cell
ΔE_f (raw) = -0.303 eV per atom

Cell and atoms, written as CIF:
```
data_Hg4PtCl2
_symmetry_space_group_name_H-M 'P 1'
_symmetry_Int_Tables_number 1
_cell_length_a 5.3176
_cell_length_b 5.3176
_cell_length_c 8.4807
_cell_angle_alpha 108.27
_cell_angle_beta 108.27
_cell_angle_gamma 90.00
loop_
_symmetry_equiv_pos_as_xyz
'x,y,z'
loop_
_atom_site_label
_atom_site_type_symbol
_atom_site_fract_x
_atom_site_fract_y
_atom_site_fract_z
Hg1 Hg 0.8279 0.8279 0.6558
Hg2 Hg 0.1721 0.1721 0.3442
Hg3 Hg 0.0000 0.5000 0.0000
Hg4 Hg 0.5000 0.0000 0.0000
Pt1 Pt 0.0000 0.0000 0.0000
Cl1 Cl 0.6647 0.6647 0.3293
Cl2 Cl 0.3353 0.3353 0.6707
```



(3)
Material: Li3CuAs4
Method: DFT, PBE
State: relaxed

Computed properties:
D(E_F) = 1.40 states/eV per cell
Formation energy from the elements = -0.322 eV/atom

Cell and atoms, written as CIF:
```
data_Li3CuAs4
_symmetry_space_group_name_H-M 'P 1'
_symmetry_Int_Tables_number 1
_cell_length_a 2.9128
_cell_length_b 8.1303
_cell_length_c 7.1754
_cell_angle_alpha 124.51
_cell_angle_beta 101.71
_cell_angle_gamma 90.00
loop_
_symmetry_equiv_pos_as_xyz
'x,y,z'
loop_
_atom_site_label
_atom_site_type_symbol
_atom_site_fract_x
_atom_site_fract_y
_atom_site_fract_z
As1 As 0.3836 0.6285 0.7672
As2 As 0.6164 0.3715 0.2328
As3 As 0.6164 0.8613 0.2328
As4 As 0.3836 0.1387 0.7672
Cu1 Cu 0.5000 0.0000 0.0000
Li1 Li 0.2127 0.2127 0.4253
Li2 Li 0.7873 0.7873 0.5747
Li3 Li 0.0000 0.5000 0.0000
```



(4)
Material: TmInIrO6
Method: DFT, PBE
State: relaxed

Computed properties:
D(E_F) = 9.14 states/eV per cell
ΔE_f (raw) = -1.619 eV per atom

Cell and atoms, written as CIF:
```
data_TmInIrO6
_symmetry_space_group_name_H-M 'P 1'
_symmetry_Int_Tables_number 1
_cell_length_a 5.4225
_cell_length_b 5.4225
_cell_length_c 9.0745
_cell_angle_alpha 90.00
_cell_angle_beta 90.00
_cell_angle_gamma 120.00
loop_
_symmetry_equiv_pos_as_xyz
'x,y,z'
loop_
_atom_site_label
_atom_site_type_symbol
_atom_site_fract_x
_atom_site_fract_y
_atom_site_fract_z
Tm1 Tm 0.3333 0.6667 0.2500
Tm2 Tm 0.6667 0.3333 0.7500
In1 In 0.0000 0.0000 0.0000
In2 In 0.0000 0.0000 0.5000
Ir1 Ir 0.6667 0.3333 0.2500
Ir2 Ir 0.3333 0.6667 0.7500
O1 O 0.6693 0.6346 0.1291
O2 O 0.9654 0.3307 0.1291
O3 O 0.3307 0.9654 0.6291
O4 O 0.0346 0.6693 0.8709
O5 O 0.3654 0.3307 0.3709
O6 O 0.9654 0.6346 0.3709
O7 O 0.6346 0.9654 0.8709
O8 O 0.6693 0.0346 0.3709
O9 O 0.0346 0.3654 0.6291
O10 O 0.3654 0.0346 0.1291
O11 O 0.6346 0.6693 0.6291
O12 O 0.3307 0.3654 0.8709
```



(5)
Material: PrPa2NiN5
Method: DFT, PBE
State: relaxed

Computed properties:
D(E_F) = 2.12 states/eV per cell
ΔE_f (raw) = -0.970 eV per atom

Cell and atoms, written as CIF:
```
data_PrPa2NiN5
_symmetry_space_group_name_H-M 'P 1'
_symmetry_Int_Tables_number 1
_cell_length_a 3.4541
_cell_length_b 7.3637
_cell_length_c 9.9263
_cell_angle_alpha 90.00
_cell_angle_beta 90.00
_cell_angle_gamma 103.56
loop_
_symmetry_equiv_pos_as_xyz
'x,y,z'
loop_
_atom_site_label
_atom_site_type_symbol
_atom_site_fract_x
_atom_site_fract_y
_atom_site_fract_z
Pr1 Pr 0.7948 0.5895 0.4829
Pr2 Pr 0.2052 0.4105 0.9829
Pa1 Pa 0.8739 0.7478 0.7893
Pa2 Pa 0.0895 0.1791 0.6738
Pa3 Pa 0.1261 0.2522 0.2893
Pa4 Pa 0.9105 0.8209 0.1738
Ni1 Ni 0.5209 0.0418 0.9547
Ni2 Ni 0.4791 0.9582 0.4547
N1 N 0.3814 0.7628 0.0144
N2 N 0.6397 0.2794 0.8446
N3 N 0.4804 0.9609 0.7742
N4 N 0.2849 0.5699 0.7091
N5 N 0.9483 0.8966 0.5810
N6 N 0.6186 0.2372 0.5144
N7 N 0.3603 0.7206 0.3446
N8 N 0.5196 0.0391 0.2742
N9 N 0.7151 0.4301 0.2091
N10 N 0.0517 0.1034 0.0810
```



- Which of these has the lowest D(E_F)?
  Li3CuAs4